Entry 1:
Computed, not measured: a PBEsol-optimized structure of CuIrOs at the SCAN level of DFT.

Values from the calculation:
Calculated formation energy: 1.76 eV per formula unit
E: -156.4 eV/cell
D(E_F): 1.54 states/eV/f.u.
Size of the total moment: 0.0 μB per formula unit
Space group: No. 216

Lattice parameters (Å, degrees): 4.0647 4.0647 4.0647 60.00 60.00 60.00
Closest atoms and distances in Å follow each position.
Element x y z (fractional)
Cu 0.0000 0.0000 0.0000  4 Os 2.49
Os 0.2500 0.2500 0.2500  4 Ir 2.49, 4 Cu 2.49
Ir 0.5000 0.5000 0.5000  4 Os 2.49

Entry 2:
Computed, not measured: a PBEsol-optimized structure of Ta2AsAu at the SCAN level of DFT.

Values from the calculation:
Calculated formation energy: -0.56 eV per formula unit
E: -223.1 eV/cell
D(E_F): 1.85 states/eV/f.u.
Size of the total moment: 0.0 μB per formula unit
Space group: No. 71

Lattice parameters (Å, degrees): 3.7239 4.6952 4.8961 118.65 112.35 90.00
Closest atoms and distances in Å follow each position.
Element x y z (fractional)
Ta 0.2263 0.2263 0.4527  2 As 2.56, 2 Au 2.82
As 0.5000 0.0000 0.0000  4 Ta 2.56
Au 0.0000 0.5000 0.0000  8 Ta 2.82-2.93, 4 As 3.00
Ta 0.7737 0.7737 0.5473  2 As 2.56, 2 Au 2.82

Entry 3:
Computed, not measured: a PBEsol-optimized structure of MgSiIr2 at the SCAN level of DFT.

Values from the calculation:
E: -158.3 eV/cell
D(E_F): 1.86 states/eV/f.u.
Size of the total moment: 0.0 μB per formula unit
Space group: No. 12

Lattice parameters (Å, degrees): 2.7920 4.9511 4.9887 119.27 105.48 91.49
Closest atoms and distances in Å follow each position.
Element x y z (fractional)
Mg 0.5000 0.0000 0.0000  4 Ir 2.51, 2 Mg 2.79, 2 Si 2.81
Si 0.0000 0.5000 0.0000  4 Ir 2.51, 2 Si 2.79, 2 Mg 2.81
Ir 0.5000 0.5000 0.5000  2 Si 2.51, 2 Mg 2.51, 4 Ir 2.79-2.81
Ir 0.0000 0.0000 0.5000  2 Mg 2.51, 2 Si 2.51, 4 Ir 2.79-2.81

Entry 4:
Computed, not measured: a PBEsol-optimized structure of K2SnHgTe4 at the SCAN level of DFT.

Values from the calculation:
E: -274.8 eV/cell
Size of the total moment: 0.0 μB per formula unit
Space group: No. 121

Lattice parameters (Å, degrees): 7.0273 7.0273 7.0273 105.41 105.41 117.95
Closest atoms and distances in Å follow each position.
Element x y z (fractional)
K 0.5000 0.0000 0.5000  8 Te 3.58-3.65, 2 K 3.62
Te 0.4400 0.4400 0.3611  1 Sn 2.79, 1 Hg 2.87
Te 0.0789 0.0789 0.6389  1 Sn 2.79, 1 Hg 2.87
K 0.0000 0.5000 0.5000  8 Te 3.58-3.65, 2 K 3.62
Te 0.5600 0.9211 0.0000  1 Sn 2.79, 1 Hg 2.87
Te 0.9211 0.5600 0.0000  1 Sn 2.79, 1 Hg 2.87
Hg 0.0000 0.0000 0.0000  4 Te 2.87
Sn 0.5000 0.5000 0.0000  4 Te 2.79

Entry 5:
Computed, not measured: a PBEsol-optimized structure of CrCd3Cl at the SCAN level of DFT.

Values from the calculation:
E: -114.1 eV/cell
D(E_F): 2.82 states/eV/f.u.
Size of the total moment: 4.6 μB per formula unit
Space group: No. 221

Lattice parameters (Å, degrees): 5.1928 5.1928 5.1928 90.00 90.00 90.00
Closest atoms and distances in Å follow each position.
Element x y z (fractional)
Cr 0.5000 0.5000 0.5000  12 Cd 3.67
Cd 0.0000 0.5000 0.0000  2 Cl 2.60
Cd 0.5000 0.0000 0.0000  2 Cl 2.60
Cl 0.0000 0.0000 0.0000  6 Cd 2.60
Cd 0.0000 0.0000 0.5000  2 Cl 2.60

Entry 6:
Computed, not measured: a PBEsol-optimized structure of Zr2TcRh at the SCAN level of DFT.

Values from the calculation:
Calculated formation energy: -3.13 eV per formula unit
E: -133.4 eV/cell
D(E_F): 1.49 states/eV/f.u.
Size of the total moment: 0.0 μB per formula unit
Space group: No. 225

Lattice parameters (Å, degrees): 4.5829 4.5829 4.5829 60.00 60.00 60.00
Closest atoms and distances in Å follow each position.
Element x y z (fractional)
Tc 0.5000 0.5000 0.5000  8 Zr 2.81
Zr 0.2500 0.2500 0.2500  4 Rh 2.81, 4 Tc 2.81
Rh 0.0000 0.0000 0.0000  8 Zr 2.81
Zr 0.7500 0.7500 0.7500  4 Tc 2.81, 4 Rh 2.81

Entry 7:
Computed, not measured: a PBEsol-optimized structure of MgTa2Te at the SCAN level of DFT.

Values from the calculation:
E: -174.3 eV/cell
D(E_F): 2.14 states/eV/f.u.
Size of the total moment: 0.0 μB per formula unit
Space group: No. 8

Lattice parameters (Å, degrees): 3.2781 5.0625 5.0512 103.51 90.00 108.89
Closest atoms and distances in Å follow each position.
Element x y z (fractional)
Te 0.5071 0.0142 0.5125  7 Ta 2.88-3.07, 3 Mg 2.96-3.00
Mg 0.7484 0.4969 0.2427  7 Ta 2.91-3.04, 3 Te 2.96-3.00
Ta 0.2531 0.5061 0.7528  3 Ta 2.83-3.04, 3 Te 2.88-2.98, 4 Mg 2.98-3.04
Ta 0.9914 0.9828 0.9920  3 Ta 2.83-3.04, 3 Mg 2.91-2.97, 4 Te 2.96-3.07

Entry 8:
Computed, not measured: a PBEsol-optimized structure of BaCdI2O at the SCAN level of DFT.

Values from the calculation:
E: -155.6 eV/cell
D(E_F): 1.72 states/eV/f.u.
Size of the total moment: 0.0 μB per formula unit
Space group: No. 123

Lattice parameters (Å, degrees): 4.1689 5.9736 5.9736 90.00 90.00 90.00
Closest atoms and distances in Å follow each position.
Element x y z (fractional)
I 0.0000 0.5000 0.0000  2 Cd 2.99
Ba 0.5000 0.5000 0.5000  8 I 3.64
O 0.5000 0.0000 0.0000  2 Cd 2.08
Cd 0.0000 0.0000 0.0000  2 O 2.08
I 0.0000 0.0000 0.5000  2 Cd 2.99

Entry 9:
Computed, not measured: a PBEsol-optimized structure of MgCdOs at the SCAN level of DFT.

Values from the calculation:
Calculated formation energy: 2.51 eV per formula unit
E: -104.8 eV/cell
D(E_F): 3.08 states/eV/f.u.
Size of the total moment: 1.3 μB per formula unit
Space group: No. 216

Lattice parameters (Å, degrees): 4.4428 4.4428 4.4428 60.00 60.00 60.00
Closest atoms and distances in Å follow each position.
Element x y z (fractional)
Cd 0.0000 0.0000 0.0000  4 Os 2.72
Mg 0.5000 0.5000 0.5000  4 Os 2.72
Os 0.7500 0.7500 0.7500  4 Cd 2.72, 4 Mg 2.72

Entry 10:
Computed, not measured: a PBEsol-optimized structure of CsTl2Ag2 at the SCAN level of DFT.

Values from the calculation:
Calculated formation energy: -0.01 eV per formula unit
E: -245.3 eV/cell
D(E_F): 1.96 states/eV/f.u.
Size of the total moment: 0.0 μB per formula unit
Space group: No. 139

Lattice parameters (Å, degrees): 5.1833 5.1833 6.6508 112.93 112.93 90.00
Closest atoms and distances in Å follow each position.
Element x y z (fractional)
Ag 0.2500 0.7500 0.5000  4 Tl 2.85
Tl 0.3559 0.3559 0.7118  4 Ag 2.85
Ag 0.7500 0.2500 0.5000  4 Tl 2.85
Cs 0.0000 0.0000 0.0000  8 Ag 3.80, 10 Tl 3.95-4.00
Tl 0.6441 0.6441 0.2882  4 Ag 2.85

Entry 11:
Computed, not measured: a PBEsol-optimized structure of YTeRh2 at the SCAN level of DFT.

Values from the calculation:
E: -135.2 eV/cell
D(E_F): 5.14 states/eV/f.u.
Size of the total moment: 0.0 μB per formula unit
Space group: No. 225

Lattice parameters (Å, degrees): 4.6688 4.6688 4.6688 60.00 60.00 60.00
Closest atoms and distances in Å follow each position.
Element x y z (fractional)
Rh 0.2500 0.2500 0.2500  4 Te 2.86, 4 Y 2.86
Y 0.0000 0.0000 0.0000  8 Rh 2.86
Te 0.5000 0.5000 0.5000  8 Rh 2.86
Rh 0.7500 0.7500 0.7500  4 Te 2.86, 4 Y 2.86

Entry 12:
Computed, not measured: a PBEsol-optimized structure of Li2MnVP3O12 at the SCAN level of DFT.

Values from the calculation:
E: -388.0 eV/cell
D(E_F): 0.18 states/eV/f.u.
Size of the total moment: 5.0 μB per formula unit
Space group: No. 2

Lattice parameters (Å, degrees): 8.1615 8.3226 8.6656 117.76 89.93 118.22
Closest atoms and distances in Å follow each position.
Element x y z (fractional)
O 0.9041 0.1721 0.2858  1 P 1.55
O 0.8129 0.2782 0.7762  1 P 1.56
Li 0.0850 0.4139 0.1486  4 O 1.93-2.03
Li 0.6636 0.9260 0.8554  4 O 1.94-2.11
O 0.6151 0.6295 0.4389  1 P 1.54
O 0.0959 0.8279 0.7142  1 P 1.55
P 0.5316 0.4970 0.7468  4 O 1.52-1.56
O 0.5053 0.6797 0.8870  1 P 1.56
O 0.1340 0.0156 0.2697  1 P 1.55
O 0.7905 0.2432 0.0787  1 P 1.58
Mn 0.6470 0.2974 0.9415  5 O 1.90-2.12
O 0.0200 0.1923 0.5807  1 P 1.54
V 0.1446 0.2826 0.4340  6 O 1.84-1.99
O 0.5104 0.3415 0.8027  1 P 1.52
O 0.3849 0.3705 0.5611  1 P 1.54
O 0.8108 0.4423 0.4143  1 P 1.53
P 0.0371 0.7904 0.2456  4 O 1.53-1.56
O 0.4947 0.3203 0.1130  1 P 1.56
O 0.1871 0.7218 0.2238  1 P 1.56
O 0.8600 0.6311 0.0797  1 P 1.53
Mn 0.3530 0.7026 0.0585  5 O 1.90-2.12
O 0.2614 0.3826 0.2706  1 P 1.56
O 0.8660 0.9844 0.7303  1 P 1.55
P 0.7542 0.2233 0.2501  4 O 1.52-1.58
O 0.1892 0.5577 0.5857  1 P 1.53
Li 0.3364 0.0740 0.1446  4 O 1.94-2.11
Li 0.9150 0.5861 0.8514  4 O 1.93-2.03
O 0.5468 0.0488 0.2099  1 P 1.52
V 0.8554 0.7174 0.5660  6 O 1.84-1.99
O 0.9800 0.8077 0.4193  1 P 1.54
O 0.7386 0.6174 0.7294  1 P 1.56
P 0.4684 0.5030 0.2532  4 O 1.52-1.56
P 0.2458 0.7767 0.7499  4 O 1.52-1.58
P 0.9629 0.2096 0.7544  4 O 1.53-1.56
O 0.1400 0.3689 0.9203  1 P 1.53
O 0.4896 0.6585 0.1973  1 P 1.52
O 0.4532 0.9512 0.7901  1 P 1.52
O 0.2095 0.7568 0.9213  1 P 1.58

Entry 13:
Computed, not measured: a PBEsol-optimized structure of Na7W12O36 at the SCAN level of DFT.

Values from the calculation:
E: -1214.7 eV/cell
D(E_F): 8.15 states/eV/f.u.
Size of the total moment: 0.0 μB per formula unit
Space group: No. 12

Lattice parameters (Å, degrees): 9.4273 9.4262 9.4267 120.00 99.60 70.52
Closest atoms and distances in Å follow each position.
Element x y z (fractional)
O 0.7520 0.0827 0.1652  2 W 1.93-1.94
Na 0.7487 0.0837 0.6650  12 O 2.71-2.74
O 0.0000 0.8349 0.6698  2 W 1.94
O 0.0000 0.1655 0.8348  2 W 1.94
W 0.3756 0.2081 0.6661  6 O 1.92-1.93
W 0.3756 0.5420 0.3339  6 O 1.92-1.93
O 0.5000 0.5000 0.5000  2 W 1.92
O 0.7500 0.9168 0.3336  2 W 1.91-1.93
O 0.2498 0.7503 0.5001  2 W 1.91-1.93
O 0.5000 0.0000 0.5000  2 W 1.92
Na 0.2504 0.2514 0.0000  12 O 2.71-2.73
O 0.5001 0.6666 0.8335  2 W 1.91-1.93
Na 0.7487 0.4188 0.3350  12 O 2.71-2.74
O 0.0000 0.0000 0.5000  2 W 1.92
O 0.7502 0.7497 0.5001  2 W 1.91-1.93
O 0.0000 0.3306 0.1652  2 W 1.94
O 0.0000 0.5000 0.5000  2 W 1.92
O 0.7520 0.2480 0.0000  2 W 1.93
W 0.8739 0.7070 0.6652  6 O 1.91-1.94
O 0.7502 0.2497 0.4999  2 W 1.91-1.93
O 0.2500 0.0832 0.6664  2 W 1.91-1.93
Na 0.0000 0.0000 0.0000  12 O 2.70
O 0.5000 0.3331 0.6663  2 W 1.92
O 0.5001 0.8331 0.1665  2 W 1.91-1.93
W 0.8736 0.3774 0.0000  6 O 1.91-1.94
O 0.0000 0.6694 0.8348  2 W 1.94
W 0.1264 0.6226 0.0000  6 O 1.91-1.94
O 0.7520 0.9175 0.8348  2 W 1.93-1.94
W 0.6226 0.1263 0.0000  6 O 1.91-1.94
O 0.4999 0.1669 0.8335  2 W 1.91-1.93
Na 0.7496 0.7486 0.0000  12 O 2.71-2.73
O 0.2480 0.9173 0.8348  2 W 1.93-1.94
O 0.2480 0.0825 0.1652  2 W 1.93-1.94
O 0.7499 0.4169 0.8335  2 W 1.91-1.93
O 0.0000 0.8345 0.1652  2 W 1.94
W 0.1261 0.2930 0.3348  6 O 1.91-1.94
O 0.5000 0.6669 0.3337  2 W 1.92
W 0.1261 0.9582 0.6652  6 O 1.91-1.94
W 0.6244 0.7919 0.3339  6 O 1.92-1.93
O 0.2500 0.4168 0.3336  2 W 1.91-1.93
O 0.7500 0.5832 0.6664  2 W 1.91-1.93
W 0.8739 0.0418 0.3348  6 O 1.91-1.94
O 0.2480 0.7520 0.0000  2 W 1.93
O 0.7499 0.5834 0.1665  2 W 1.91-1.93
O 0.0000 0.5000 0.0000  2 W 1.92
Na 0.2513 0.9163 0.3350  12 O 2.71-2.74
O 0.0000 0.1651 0.3302  2 W 1.94
W 0.3774 0.8737 0.0000  6 O 1.91-1.94
O 0.5000 0.0000 0.0000  2 W 1.92
W 0.6244 0.4580 0.6661  6 O 1.92-1.93
O 0.2501 0.4166 0.8335  2 W 1.91-1.93
O 0.2501 0.5831 0.1665  2 W 1.91-1.93
Na 0.2513 0.5812 0.6650  12 O 2.71-2.74
O 0.2498 0.2503 0.4999  2 W 1.91-1.93
O 0.4999 0.3334 0.1665  2 W 1.91-1.93

Entry 14:
Computed, not measured: a PBEsol-optimized structure of TcAu2Br at the SCAN level of DFT.

Values from the calculation:
E: -191.3 eV/cell
D(E_F): 2.55 states/eV/f.u.
Size of the total moment: 0.0 μB per formula unit
Space group: No. 44

Lattice parameters (Å, degrees): 2.8676 4.4285 6.8704 108.80 102.05 90.00
Closest atoms and distances in Å follow each position.
Element x y z (fractional)
Au 0.2183 0.7183 0.4367  4 Tc 2.72, 4 Au 2.79-2.87
Br 0.4278 0.4278 0.8557  2 Tc 2.47
Tc 0.7698 0.2698 0.5395  2 Br 2.47, 6 Au 2.72-2.76
Au 0.0840 0.0840 0.1681  2 Tc 2.76, 4 Au 2.79-2.87

Entry 15:
Computed, not measured: a PBEsol-optimized structure of InMo2Rh at the SCAN level of DFT.

Values from the calculation:
Calculated formation energy: 0.71 eV per formula unit
E: -136.2 eV/cell
D(E_F): 3.19 states/eV/f.u.
Size of the total moment: 0.0 μB per formula unit
Space group: No. 12

Lattice parameters (Å, degrees): 2.7730 5.0886 5.0886 118.63 89.91 89.91
Closest atoms and distances in Å follow each position.
Element x y z (fractional)
Mo 0.0000 0.5000 0.0000  4 Mo 2.60-2.77, 4 In 2.90, 4 Rh 2.90
Mo 0.0000 0.0000 0.5000  4 Mo 2.60-2.77, 4 Rh 2.90, 4 In 2.90
Rh 0.5000 0.5000 0.5000  2 In 2.60, 2 Rh 2.77, 8 Mo 2.90
In 0.5000 0.0000 0.0000  2 Rh 2.60, 2 In 2.77, 8 Mo 2.90

Entry 16:
Computed, not measured: a PBEsol-optimized structure of Ca3RhO at the SCAN level of DFT.

Values from the calculation:
E: -75.9 eV/cell
D(E_F): 1.67 states/eV/f.u.
Size of the total moment: 0.0 μB per formula unit
Space group: No. 221

Lattice parameters (Å, degrees): 4.6238 4.6238 4.6238 90.00 90.00 90.00
Closest atoms and distances in Å follow each position.
Element x y z (fractional)
Rh 0.5000 0.5000 0.5000  12 Ca 3.27
Ca 0.0000 0.5000 0.0000  2 O 2.31
O 0.0000 0.0000 0.0000  6 Ca 2.31
Ca 0.5000 0.0000 0.0000  2 O 2.31
Ca 0.0000 0.0000 0.5000  2 O 2.31

Entry 17:
Computed, not measured: a PBEsol-optimized structure of Zr2CoAg2 at the SCAN level of DFT.

Values from the calculation:
Calculated formation energy: 3.83 eV per formula unit
E: -137.6 eV/cell
D(E_F): 4.58 states/eV/f.u.
Size of the total moment: 1.8 μB per formula unit
Space group: No. 139

Lattice parameters (Å, degrees): 3.8663 3.8663 7.1705 105.64 105.64 90.00
Closest atoms and distances in Å follow each position.
Element x y z (fractional)
Ag 0.4066 0.4066 0.8132  1 Ag 2.48
Ag 0.5934 0.5934 0.1868  1 Ag 2.48
Zr 0.2500 0.7500 0.5000  4 Zr 2.73, 4 Ag 2.84
Zr 0.7500 0.2500 0.5000  4 Zr 2.73, 4 Ag 2.84
Co 0.0000 0.0000 0.0000  8 Ag 3.00

Entry 18:
Computed, not measured: a PBEsol-optimized structure of CsTaP2H at the SCAN level of DFT.

Values from the calculation:
E: -112.6 eV/cell
D(E_F): 4.43 states/eV/f.u.
Size of the total moment: 2.4 μB per formula unit
Space group: No. 123

Lattice parameters (Å, degrees): 5.5012 5.5012 5.5448 90.00 90.00 90.00
Closest atoms and distances in Å follow each position.
Element x y z (fractional)
P 0.5000 0.0000 0.0000  2 Cs 2.75
P 0.0000 0.5000 0.0000  2 Cs 2.75
H 0.5000 0.5000 0.5000  4 Ta 3.89, 8 P 3.91
Cs 0.0000 0.0000 0.0000  4 P 2.75, 2 Ta 2.77
Ta 0.0000 0.0000 0.5000  2 Cs 2.77

Entry 19:
Computed, not measured: a PBEsol-optimized structure of PrDy3 at the SCAN level of DFT.

Values from the calculation:
Calculated formation energy: 0.09 eV per formula unit
E: -186.6 eV/cell
D(E_F): 4.77 states/eV/f.u.
Size of the total moment: 0.0 μB per formula unit
Space group: No. 221

Lattice parameters (Å, degrees): 4.9622 4.9622 4.9622 90.00 90.00 90.00
Closest atoms and distances in Å follow each position.
Element x y z (fractional)
Dy 0.0000 0.5000 0.5000  8 Dy 3.51, 4 Pr 3.51
Dy 0.5000 0.5000 0.0000  8 Dy 3.51, 4 Pr 3.51
Dy 0.5000 0.0000 0.5000  8 Dy 3.51, 4 Pr 3.51
Pr 0.0000 0.0000 0.0000  12 Dy 3.51

Entry 20:
Computed, not measured: a PBEsol-optimized structure of Tl5Cl at the SCAN level of DFT.

Values from the calculation:
E: -371.4 eV/cell
D(E_F): 2.18 states/eV/f.u.
Size of the total moment: 0.0 μB per formula unit
Space group: No. 123

Lattice parameters (Å, degrees): 3.7968 3.7968 11.6797 90.00 90.00 90.00
Closest atoms and distances in Å follow each position.
Element x y z (fractional)
Tl 0.5000 0.5000 0.3402  8 Tl 3.27-3.46
Cl 0.5000 0.5000 0.0000  8 Tl 3.23
Tl 0.0000 0.0000 0.1537  4 Cl 3.23, 5 Tl 3.46-3.59
Tl 0.0000 0.0000 0.8463  4 Cl 3.23, 5 Tl 3.46-3.59
Tl 0.5000 0.5000 0.6598  8 Tl 3.27-3.46
Tl 0.0000 0.0000 0.5000  8 Tl 3.27